No. 1
Crystalline ZnPbS3 at its relaxed geometry. Source: Alexandria via LeMat-Bulk, functional PBE.

```
5
Lattice="5.175 0.000 0.000 0.000 5.175 0.000 0.000 0.000 5.175" Properties=species:S:1:pos:R:3 pbc="T T T"
Zn 0.000 0.000 0.000
Pb 2.588 2.588 2.588
S 0.000 2.588 2.588
S 2.588 0.000 2.588
S 2.588 2.588 0.000
```

Values from the calculation:
Crystal system = cubic
Formation energy without anion corrections = 0.71 eV/atom


No. 2
Crystalline ZnPbS2 at its relaxed geometry. Source: Alexandria via LeMat-Bulk, functional PBE.

```
4
Lattice="1.784 1.030 8.326 -1.784 1.030 8.326 0.000 -2.060 8.326" Properties=species:S:1:pos:R:3 pbc="T T T"
Zn 0.000 0.000 0.000
Pb 0.000 0.000 12.488
S 0.000 0.000 9.678
S 0.000 0.000 15.299
```

Values from the calculation:
Crystal system = trigonal
Formation energy without anion corrections = -0.13 eV/atom


No. 3
Crystalline Zn2PbS at its relaxed geometry. Source: Alexandria via LeMat-Bulk, functional PBE.

```
4
Lattice="0.000 3.475 3.475 3.475 0.000 3.475 3.475 3.475 0.000" Properties=species:S:1:pos:R:3 pbc="T T T"
Zn 1.738 1.738 1.738
Zn 5.213 5.213 5.213
Pb 0.000 0.000 0.000
S 3.475 3.475 3.475
```

Values from the calculation:
Crystal system = cubic
Formation energy without anion corrections = 0.33 eV/atom


No. 4
Crystalline ZrPbS2 at its relaxed geometry. Source: Alexandria via LeMat-Bulk, functional PBE.

```
8
Lattice="1.839 -10.592 0.000 1.839 10.592 0.000 0.000 0.000 5.002" Properties=species:S:1:pos:R:3 pbc="T T T"
Zr 1.839 9.383 3.751
Zr 1.839 -9.383 1.250
Pb 1.839 3.842 3.751
Pb 1.839 -3.842 1.250
S 1.839 9.239 1.250
S 1.839 6.790 3.751
S 1.839 -6.790 1.250
S 1.839 -9.239 3.751
```

Values from the calculation:
Crystal system = orthorhombic
Formation energy without anion corrections = -0.71 eV/atom


No. 5
Crystalline ZrPbS3 at its relaxed geometry. Source: Alexandria via LeMat-Bulk, functional PBE.

```
5
Lattice="5.002 0.000 0.000 0.000 5.002 0.000 0.000 0.000 5.002" Properties=species:S:1:pos:R:3 pbc="T T T"
Zr 0.000 0.000 0.000
Pb 2.501 2.501 2.501
S 0.000 0.000 2.501
S 0.000 2.501 0.000
S 2.501 0.000 0.000
```

Values from the calculation:
Crystal system = cubic
Formation energy without anion corrections = -0.88 eV/atom


No. 6
Crystalline ZrPbS2 at its relaxed geometry. Source: Alexandria via LeMat-Bulk, functional PBE.

```
16
Lattice="7.525 0.000 0.000 0.000 3.924 0.000 0.000 0.000 13.340" Properties=species:S:1:pos:R:3 pbc="T T T"
Zr 0.295 0.981 1.618
Zr 3.468 2.943 8.288
Zr 4.057 0.981 5.052
Zr 7.231 2.943 11.722
Pb 1.208 2.943 4.637
Pb 2.554 0.981 11.308
Pb 4.971 2.943 2.033
Pb 6.317 0.981 8.703
S 1.363 2.943 9.771
S 1.456 2.943 0.339
S 2.306 0.981 7.009
S 2.400 0.981 3.100
S 5.126 2.943 10.240
S 5.219 2.943 6.331
S 6.069 0.981 13.002
S 6.162 0.981 3.570
```

Values from the calculation:
Crystal system = orthorhombic
Formation energy without anion corrections = -0.92 eV/atom


No. 7
Crystalline ZrPbS2 at its relaxed geometry. Source: Alexandria via LeMat-Bulk, functional PBE.

```
8
Lattice="4.149 -5.664 0.000 4.149 5.664 0.000 -3.310 0.000 4.767" Properties=species:S:1:pos:R:3 pbc="T T T"
Zr 1.667 3.111 3.575
Zr 3.322 -3.111 1.192
Pb 3.322 4.739 1.192
Pb 1.667 -4.739 3.575
S 1.510 1.647 1.620
S -0.145 -1.647 4.004
S 5.133 1.647 0.763
S 3.478 -1.647 3.147
```

Values from the calculation:
Crystal system = monoclinic
Formation energy without anion corrections = -0.82 eV/atom


No. 8
Crystalline ZrPbS2 at its relaxed geometry. Source: Alexandria via LeMat-Bulk, functional PBE.

```
4
Lattice="2.295 1.325 6.447 -2.295 1.325 6.447 0.000 -2.651 6.447" Properties=species:S:1:pos:R:3 pbc="T T T"
Zr 0.000 0.000 0.000
Pb 0.000 0.000 10.682
S 0.000 0.000 6.881
S 0.000 0.000 16.839
```

Values from the calculation:
Crystal system = trigonal
Formation energy without anion corrections = -0.49 eV/atom


No. 9
Crystalline ZrPb2S4 at its relaxed geometry. Source: Alexandria via LeMat-Bulk, functional PBE.

```
14
Lattice="1.823 -7.183 0.000 1.823 7.183 0.000 0.000 0.000 13.535" Properties=species:S:1:pos:R:3 pbc="T T T"
Zr 1.823 5.377 10.151
Zr 1.823 -5.377 3.384
Pb 1.823 1.800 7.764
Pb 1.823 1.800 12.538
Pb 1.823 -1.800 0.997
Pb 1.823 -1.800 5.771
S 0.000 0.000 0.000
S 0.000 0.000 6.768
S 1.823 2.875 1.791
S 1.823 2.875 4.977
S 1.823 0.061 10.151
S 1.823 -0.061 3.384
S 1.823 -2.875 8.558
S 1.823 -2.875 11.744
```

Values from the calculation:
Crystal system = orthorhombic
Formation energy without anion corrections = -0.83 eV/atom


No. 10
Crystalline ZrPbS2 at its relaxed geometry. Source: Alexandria via LeMat-Bulk, functional PBE.

```
4
Lattice="3.959 0.000 0.000 0.000 3.959 0.000 0.000 0.000 5.634" Properties=species:S:1:pos:R:3 pbc="T T T"
Zr 0.000 0.000 0.000
Pb 1.980 1.980 2.817
S 0.000 0.000 2.817
S 1.980 1.980 0.000
```

Values from the calculation:
Crystal system = tetragonal
Formation energy without anion corrections = -0.61 eV/atom


No. 11
Crystalline ZrPbS2 at its relaxed geometry. Source: Alexandria via LeMat-Bulk, functional PBE.

```
4
Lattice="4.901 0.000 0.000 0.000 4.901 0.000 0.000 0.000 3.384" Properties=species:S:1:pos:R:3 pbc="T T T"
Zr 0.000 0.000 0.000
Pb 2.451 2.451 0.000
S 0.000 2.451 1.692
S 2.451 0.000 1.692
```

Values from the calculation:
Crystal system = tetragonal
Formation energy without anion corrections = -0.48 eV/atom


No. 12
Crystalline ZrPb2S4 at its relaxed geometry. Source: Alexandria via LeMat-Bulk, functional PBE.

```
7
Lattice="-2.493 2.493 7.418 2.493 -2.493 7.418 2.493 2.493 -7.418" Properties=species:S:1:pos:R:3 pbc="T T T"
Zr 0.000 0.000 0.000
Pb 0.000 0.000 5.310
Pb 0.000 0.000 9.526
S 2.493 0.000 0.000
S 0.000 0.000 2.569
S 0.000 2.493 0.000
S 0.000 0.000 12.267
```

Values from the calculation:
Crystal system = tetragonal
Formation energy without anion corrections = -0.77 eV/atom


No. 13
Crystalline ZrPbS at its relaxed geometry. Source: Alexandria via LeMat-Bulk, functional PBE.

```
12
Lattice="4.376 -4.837 0.000 4.376 4.837 0.000 0.000 0.000 7.274" Properties=species:S:1:pos:R:3 pbc="T T T"
Zr 4.376 3.761 6.039
Zr 4.376 1.076 2.401
Zr 4.376 -1.076 4.873
Zr 4.376 -3.761 1.236
Pb 1.674 0.000 3.637
Pb 2.702 0.000 0.000
Pb 6.050 0.000 0.000
Pb 7.077 0.000 3.637
S 4.376 3.349 1.360
S 4.376 1.488 4.997
S 4.376 -1.488 2.278
S 4.376 -3.349 5.915
```

Values from the calculation:
Crystal system = orthorhombic
Formation energy without anion corrections = -0.50 eV/atom


No. 14
Crystalline ZrPbS2 at its relaxed geometry. Source: Alexandria via LeMat-Bulk, functional PBE.

```
16
Lattice="7.118 0.000 0.000 0.000 8.545 0.000 0.000 0.000 6.822" Properties=species:S:1:pos:R:3 pbc="T T T"
Zr 0.143 1.472 0.000
Zr 3.416 5.745 3.411
Zr 3.702 2.800 0.000
Zr 6.975 7.073 3.411
Pb 0.822 4.691 1.012
Pb 2.737 0.419 4.423
Pb 4.381 8.127 1.012
Pb 6.296 3.854 4.423
S 0.027 7.710 0.960
S 1.503 6.155 4.990
S 2.057 1.882 1.579
S 3.532 3.437 4.371
S 3.586 5.108 0.960
S 5.062 6.663 4.990
S 5.616 2.391 1.579
S 7.092 0.835 4.371
```

Values from the calculation:
Crystal system = orthorhombic
Formation energy without anion corrections = -0.79 eV/atom


No. 15
Crystalline ZrPbS2 at its relaxed geometry. Source: Alexandria via LeMat-Bulk, functional PBE.

```
4
Lattice="3.581 0.000 0.000 -1.791 3.101 0.000 0.000 0.000 8.987" Properties=species:S:1:pos:R:3 pbc="T T T"
Zr 0.000 0.000 0.000
Pb 0.000 2.068 4.494
S 0.000 2.068 1.574
S 0.000 2.068 7.413
```

Values from the calculation:
Crystal system = hexagonal
Formation energy without anion corrections = -1.11 eV/atom


No. 16
Crystalline Zr2PbS2 at its relaxed geometry. Source: Alexandria via LeMat-Bulk, functional PBE.

```
5
Lattice="-2.105 2.105 6.347 2.105 -2.105 6.347 2.105 2.105 -6.347" Properties=species:S:1:pos:R:3 pbc="T T T"
Zr 0.000 0.000 1.687
Zr 0.000 0.000 11.007
Pb 0.000 0.000 6.347
S 2.105 0.000 3.174
S 0.000 2.105 3.174
```

Values from the calculation:
Crystal system = tetragonal
Formation energy without anion corrections = -0.76 eV/atom


No. 17
Crystalline Zr3PbS at its relaxed geometry. Source: Alexandria via LeMat-Bulk, functional PBE.

```
5
Lattice="4.869 0.000 0.000 0.000 4.869 0.000 0.000 0.000 4.869" Properties=species:S:1:pos:R:3 pbc="T T T"
Zr 0.000 0.000 2.435
Zr 0.000 2.435 0.000
Zr 2.435 0.000 0.000
Pb 2.435 2.435 2.435
S 0.000 0.000 0.000
```

Values from the calculation:
Crystal system = cubic
Formation energy without anion corrections = -0.45 eV/atom


No. 18
Crystalline Zr2PbS4 at its relaxed geometry. Source: Alexandria via LeMat-Bulk, functional PBE.

```
14
Lattice="1.879 -6.055 0.000 1.879 6.055 0.000 0.000 0.000 13.430" Properties=species:S:1:pos:R:3 pbc="T T T"
Zr 1.879 4.463 7.543
Zr 1.879 4.463 12.602
Zr 1.879 -4.463 0.828
Zr 1.879 -4.463 5.887
Pb 1.879 1.280 10.072
Pb 1.879 -1.280 3.357
S 1.879 5.221 10.072
S 1.879 3.325 1.483
S 1.879 3.325 5.231
S 1.879 0.000 0.000
S 1.879 0.000 6.715
S 1.879 -3.325 8.198
S 1.879 -3.325 11.946
S 1.879 -5.221 3.357
```

Values from the calculation:
Crystal system = orthorhombic
Formation energy without anion corrections = -1.23 eV/atom


No. 19
Crystalline ZrPbS2 at its relaxed geometry. Source: Alexandria via LeMat-Bulk, functional PBE.

```
16
Lattice="8.623 0.000 0.000 0.000 3.567 0.000 -2.617 0.000 14.657" Properties=species:S:1:pos:R:3 pbc="T T T"
Zr 0.586 0.038 4.537
Zr -0.723 1.746 11.866
Zr 6.729 1.821 2.791
Zr 5.421 3.530 10.119
Pb 3.337 0.041 2.153
Pb 2.028 1.743 9.482
Pb 3.978 1.825 5.175
Pb 2.670 3.526 12.503
S 0.590 1.821 2.600
S -0.719 3.530 9.928
S 1.294 1.821 6.152
S -0.015 3.530 13.481
S 6.021 0.037 1.176
S 4.713 1.746 8.504
S 6.725 0.037 4.728
S 5.417 1.746 12.057
```

Values from the calculation:
Crystal system = monoclinic
Formation energy without anion corrections = -0.97 eV/atom


No. 20
Crystalline Zr2Pb2S at its relaxed geometry. Source: Alexandria via LeMat-Bulk, functional PBE.

```
10
Lattice="6.797 0.000 0.000 0.000 6.797 0.000 0.000 0.000 5.141" Properties=species:S:1:pos:R:3 pbc="T T T"
Zr 1.092 2.306 0.000
Zr 2.306 5.705 0.000
Zr 4.491 1.092 0.000
Zr 5.705 4.491 0.000
Pb 1.115 4.514 2.570
Pb 2.283 1.115 2.570
Pb 4.514 5.682 2.570
Pb 5.682 2.283 2.570
S 0.000 0.000 0.000
S 3.399 3.399 0.000
```

Values from the calculation:
Crystal system = tetragonal
Formation energy without anion corrections = -0.49 eV/atom